Density functional theory data (PBE) for a geometry-optimized Pm5Te structure. Values from VASP.

```
&SYSTEM
  ibrav = 0, nat = 6, ntyp = 2
/
ATOMIC_SPECIES
Te 127.60 Te.upf
Pm 145.00 Pm.upf
CELL_PARAMETERS angstrom
4.917 0.000 0.000
0.000 4.900 0.000
0.000 -2.450 7.799
ATOMIC_POSITIONS angstrom
Te 0.000 0.000 0.000
Pm 2.458 2.450 5.256
Pm 0.000 2.450 2.493
Pm 2.458 2.450 0.000
Pm 0.000 0.000 5.306
Pm 2.458 0.000 2.543
```

V = 31.32 A^3/atom
Uncorrected energy = -4.80 eV/atom
Space-group type = Cmmm
Total moment = 0.0 μB/f.u.